Record 1
Material: Li2LaRh
Method: DFT, PBE-GGA
State: relaxed

Computed properties:
Volume ... 344 Å³ per cell
E_tot ... -4.25 eV per atom
Formation energy from the elements ... -0.22 eV per atom

Cell and atoms, written as POSCAR:
```
Li2LaRh
1.0
4.006 0.000 0.000
0.000 4.006 0.000
0.000 0.000 21.417
Li La Rh
8 4 4
Direct
0.185 0.750 0.125
0.250 0.185 0.875
0.250 0.315 0.375
0.315 0.750 0.625
0.685 0.250 0.625
0.750 0.685 0.375
0.750 0.815 0.875
0.815 0.250 0.125
0.000 0.000 0.500
0.000 0.500 0.750
0.500 0.000 0.250
0.500 0.500 0.000
0.000 0.000 0.000
0.000 0.500 0.250
0.500 0.000 0.750
0.500 0.500 0.500
```

Record 2
Material: LiLaRh
Method: DFT, PBE-GGA
State: relaxed

Computed properties:
Volume ... 292 Å³ per cell
E_tot ... -4.57 eV per atom
Formation energy from the elements ... 0.16 eV per atom

Cell and atoms, written as POSCAR:
```
LiLaRh
1.0
6.634 0.000 0.000
0.000 6.634 0.000
0.000 0.000 6.634
Li La Rh
4 4 4
Direct
0.000 0.000 0.000
0.000 0.500 0.500
0.500 0.000 0.500
0.500 0.500 0.000
0.250 0.250 0.250
0.250 0.750 0.750
0.750 0.250 0.750
0.750 0.750 0.250
0.000 0.000 0.500
0.000 0.500 0.000
0.500 0.000 0.000
0.500 0.500 0.500
```

Record 3
Material: LiLaRh2
Method: DFT, PBE-GGA
State: relaxed

Computed properties:
Volume ... 311 Å³ per cell
E_tot ... -5.54 eV per atom
Formation energy from the elements ... -0.15 eV per atom

Cell and atoms, written as POSCAR:
```
LiLaRh2
1.0
4.284 0.000 0.000
0.000 4.284 0.000
0.000 0.000 16.959
Li La Rh
4 4 8
Direct
0.000 0.000 0.000
0.000 0.500 0.250
0.500 0.000 0.750
0.500 0.500 0.500
0.000 0.000 0.500
0.000 0.500 0.750
0.500 0.000 0.250
0.500 0.500 0.000
0.188 0.250 0.125
0.250 0.688 0.375
0.250 0.812 0.875
0.312 0.250 0.625
0.688 0.750 0.625
0.750 0.188 0.875
0.750 0.312 0.375
0.812 0.750 0.125
```